Record 1
An optimized crystal structure of AlTl2W, computed with PBE.

Properties
The density of states at the Fermi level is 4.2 states/eV per cell. Its symmetry is Fm-3m, No. 225. The total energy is -4.19 eV per atom.

Unit cell a=4.9089 b=4.9089 c=4.9089 alpha=60.00 beta=60.00 gamma=60.00
Atoms (fractional coordinates):
1 Tl 0.2500 0.2500 0.2500
2 Tl 0.7500 0.7500 0.7500
3 Al 0.0000 0.0000 0.0000
4 W 0.5000 0.5000 0.5000

=====

Record 2
An optimized crystal structure of AlTl2W, computed with PBE.

Properties
The density of states at the Fermi level is 2.7 states/eV per cell. Its symmetry is Pmmm, No. 47. The total energy is -4.55 eV per atom.

Unit cell a=3.0203 b=5.2980 c=5.1931 alpha=90.00 beta=90.00 gamma=90.00
Atoms (fractional coordinates):
1 Tl 0.0000 0.0000 0.0000
2 Tl 0.5000 0.5000 0.0000
3 Al 0.0000 0.5000 0.5000
4 W 0.5000 0.0000 0.5000

=====

Record 3
An optimized crystal structure of AlTlW2, computed with PBE.

Properties
The density of states at the Fermi level is 2.2 states/eV per cell. Its symmetry is P2/m, No. 10. The total energy is -7.39 eV per atom.

Unit cell a=4.5519 b=2.8665 c=5.5412 alpha=82.34 beta=90.00 gamma=90.00
Atoms (fractional coordinates):
1 Tl 0.5000 0.7500 0.7500
2 Al 0.5000 0.2500 0.2500
3 W 0.0000 0.9505 0.0329
4 W 0.0000 0.5495 0.4671